A relaxed structure of Sr2InSnN. Source: Alexandria via LeMat-Bulk, functional PBE.

Cell and atoms, written as POSCAR:
```
Sr2InSnN
1.0
-2.871 -3.221 3.070
-0.162 -3.575 -3.903
3.881 -1.928 1.605
Sr In Sn N
2 1 1 1
direct
0.000 0.500 0.000
0.500 0.000 0.000
0.000 0.000 0.500
0.500 0.500 0.500
0.000 0.000 0.000
```

Calculated values
- D(E_F): 1.44 states/eV/f.u.
- Formation energy (no corrections): -0.4364 eV/atom
- Symmetry: P4/mmm, No. 123

A relaxed structure of NaLi2PdCl6. Source: Alexandria via LeMat-Bulk, functional PBE.

Cell and atoms, written as POSCAR:
```
NaLi2PdCl6
1.0
-5.366 -1.780 3.538
0.455 -4.130 4.905
-0.858 2.415 6.813
Li Na Cl Pd
2 1 6 1
direct
0.990 0.026 0.982
0.519 0.504 0.434
0.809 0.813 0.565
0.597 0.233 0.243
0.251 0.941 0.240
0.140 0.387 0.748
0.946 0.568 0.239
0.713 0.133 0.776
0.373 0.726 0.774
0.325 0.331 0.016
```

Calculated values
- Formation energy (no corrections): -1.1989 eV/atom
- Symmetry: P1, No. 1

A relaxed structure of TiNbTe6. Source: Alexandria via LeMat-Bulk, functional PBE.

Cell and atoms, written as POSCAR:
```
TiNbTe6
1.0
6.167 1.233 2.321
2.262 6.487 0.851
0.753 0.617 7.354
Te Nb Ti
6 1 1
direct
0.791 0.779 0.316
0.209 0.221 0.684
0.500 0.305 0.000
0.893 0.221 0.316
0.500 0.695 0.000
0.107 0.779 0.684
0.000 0.500 0.000
0.000 0.000 0.000
```

Calculated values
- D(E_F): 2.93 states/eV/f.u.
- Formation energy (no corrections): -0.2501 eV/atom
- Symmetry: C2/m, No. 12

A relaxed structure of Tm5CuSe4. Source: Alexandria via LeMat-Bulk, functional PBE.

Cell and atoms, written as POSCAR:
```
Tm5CuSe4
1.0
3.833 0.000 0.876
1.611 6.662 1.775
-0.048 -0.012 9.040
Se Tm Cu
4 5 1
direct
0.194 0.411 0.200
0.607 0.199 0.587
0.806 0.589 0.800
0.393 0.801 0.413
0.810 0.097 0.283
0.408 0.277 0.906
0.190 0.903 0.717
0.000 0.500 0.500
0.592 0.723 0.094
0.000 0.000 0.000
```

Calculated values
- D(E_F): 3.66 states/eV/f.u.
- Formation energy (no corrections): -1.4105 eV/atom
- Symmetry: C2/m, No. 12

A relaxed structure of Pm4Pr3SmSe8. Source: Alexandria via LeMat-Bulk, functional PBE.

Cell and atoms, written as POSCAR:
```
Pm4Pr3SmSe8
1.0
-2.764 -5.831 -5.448
-0.478 -5.631 6.270
-4.010 7.398 0.662
Se Sm Pr Pm
8 1 3 4
direct
0.248 0.244 0.496
0.751 0.247 0.996
0.249 0.753 0.004
0.249 0.753 0.498
0.751 0.247 0.502
0.755 0.753 0.004
0.245 0.247 0.996
0.752 0.756 0.504
0.000 0.500 0.000
0.500 0.500 0.000
0.500 0.500 0.500
0.000 0.500 0.500
0.000 0.000 0.000
0.000 0.000 0.500
0.500 0.000 0.000
0.500 0.000 0.500
```

Calculated values
- D(E_F): 11.01 states/eV/f.u.
- Formation energy (no corrections): -1.8301 eV/atom
- Symmetry: R-3m, No. 166

A relaxed structure of DyHo4Ir2. Source: Alexandria via LeMat-Bulk, functional PBE.

Cell and atoms, written as POSCAR:
```
DyHo4Ir2
1.0
-6.189 -0.617 -1.041
0.222 -7.261 2.986
-1.458 5.457 5.431
Ho Ir Dy
8 4 2
direct
0.503 0.416 0.763
0.497 0.584 0.237
0.750 0.015 0.380
0.003 0.584 0.237
0.250 0.985 0.620
0.997 0.416 0.763
0.750 0.751 0.666
0.250 0.249 0.334
0.250 0.258 0.985
0.750 0.742 0.015
0.250 0.627 0.589
0.750 0.373 0.411
0.750 0.158 0.028
0.250 0.842 0.972
```

Calculated values
- D(E_F): 7.28 states/eV/f.u.
- DFT formation energy: -0.552 eV per atom
- Symmetry: P2_1/m, No. 11

A relaxed structure of TiAlOs3. Source: Alexandria via LeMat-Bulk, functional PBE.

Cell and atoms, written as POSCAR:
```
TiAlOs3
1.0
4.525 0.000 0.000
0.000 4.525 0.000
0.000 0.000 4.525
Os Al Ti
3 1 1
direct
0.500 0.000 0.000
0.000 0.000 0.500
0.000 0.500 0.000
0.500 0.500 0.500
0.000 0.000 0.000
```

Calculated values
- D(E_F): 6.87 states/eV/f.u.
- DFT formation energy: 1.645 eV per atom
- Symmetry: Pm-3m, No. 221

A relaxed structure of NdIn5Pt3. Source: Alexandria via LeMat-Bulk, functional PBE.

Cell and atoms, written as POSCAR:
```
NdIn5Pt3
1.0
-2.051 1.831 2.847
0.924 -7.109 2.487
12.114 3.778 6.300
In Nd Pt
10 2 6
direct
0.000 0.000 0.000
0.199 0.398 0.562
0.000 0.000 0.500
0.552 0.105 0.848
0.448 0.895 0.348
0.448 0.895 0.152
0.801 0.602 0.062
0.199 0.398 0.938
0.801 0.602 0.438
0.552 0.105 0.652
0.831 0.661 0.750
0.169 0.339 0.250
0.617 0.235 0.070
0.844 0.688 0.250
0.617 0.235 0.430
0.156 0.312 0.750
0.383 0.765 0.930
0.383 0.765 0.570
```

Calculated values
- D(E_F): 3.63 states/eV/f.u.
- DFT formation energy: -0.449 eV per atom
- Symmetry: Cmcm, No. 63

A relaxed structure of LuGaTcGe. Source: Alexandria via LeMat-Bulk, functional PBE.

Cell and atoms, written as POSCAR:
```
LuGaTcGe
1.0
-3.281 0.955 -3.054
0.128 -1.897 -4.170
-3.062 -3.209 -1.153
Ge Lu Tc Ga
1 1 1 1
direct
0.250 0.250 0.250
0.000 0.000 0.000
0.500 0.500 0.500
0.750 0.750 0.750
```

Calculated values
- D(E_F): 3.75 states/eV/f.u.
- DFT formation energy: -0.287 eV per atom
- Symmetry: F-43m, No. 216

A relaxed structure of YFeSe. Source: Alexandria via LeMat-Bulk, functional PBE.

Cell and atoms, written as POSCAR:
```
YFeSe
1.0
4.110 0.000 0.000
-2.055 3.559 0.000
0.000 0.000 3.777
Se Fe Y
1 1 1
direct
0.667 0.333 0.167
0.000 0.000 0.167
0.333 0.667 0.666
```

Calculated values
- D(E_F): 2.69 states/eV/f.u.
- Formation energy (no corrections): -0.6934 eV/atom
- Symmetry: P-6m2, No. 187

A relaxed structure of TaMnIn2. Source: Alexandria via LeMat-Bulk, functional PBE.

Cell and atoms, written as POSCAR:
```
TaMnIn2
1.0
5.666 0.136 0.530
4.767 3.066 0.530
1.858 0.570 4.739
In Ta Mn
2 1 1
direct
0.015 0.015 0.985
0.485 0.485 0.515
0.250 0.250 0.250
0.750 0.750 0.750
```

Calculated values
- D(E_F): 2.47 states/eV/f.u.
- DFT formation energy: 0.347 eV per atom
- Symmetry: Immm, No. 71

A relaxed structure of Ag4I3Br2. Source: Alexandria via LeMat-Bulk, functional PBE.

Cell and atoms, written as POSCAR:
```
Ag4I3Br2
1.0
5.257 -1.036 0.188
-0.541 11.483 2.022
-0.730 -1.978 9.405
Ag Br I
8 4 6
direct
0.852 0.702 0.101
0.692 0.384 0.201
0.093 0.187 0.474
0.907 0.813 0.526
0.308 0.616 0.799
0.482 0.965 0.807
0.518 0.035 0.193
0.148 0.298 0.899
0.798 0.596 0.840
0.606 0.213 0.424
0.202 0.404 0.160
0.394 0.787 0.576
0.801 0.601 0.357
0.602 0.204 0.974
0.007 0.015 0.718
0.993 0.985 0.282
0.398 0.796 0.026
0.199 0.399 0.643
```

Calculated values
- D(E_F): 4.79 states/eV/f.u.
- Formation energy (no corrections): -0.2077 eV/atom
- Symmetry: C2/m, No. 12

A relaxed structure of KAcAg2Cl6. Source: Alexandria via LeMat-Bulk, functional PBE.

Cell and atoms, written as POSCAR:
```
KAcAg2Cl6
1.0
7.293 0.014 -0.002
-3.635 6.303 -0.007
-3.649 -2.116 6.550
Cl Ag K Ac
6 2 1 1
direct
0.118 0.418 0.169
0.534 0.954 0.681
0.765 0.697 0.167
0.738 0.579 0.677
0.111 0.158 0.678
0.484 0.066 0.169
0.596 0.797 0.379
0.607 0.305 0.897
0.017 0.508 0.510
0.995 0.996 0.977
```

Calculated values
- D(E_F): 0.00 states/eV/f.u.
- Formation energy (no corrections): -1.5253 eV/atom
- Symmetry: P1, No. 1

A relaxed structure of Ca2Ta2Zn. Source: Alexandria via LeMat-Bulk, functional PBE.

Cell and atoms, written as POSCAR:
```
Ca2Ta2Zn
1.0
-2.046 2.511 1.933
-3.168 -1.543 -1.348
-2.869 -5.318 7.552
Ca Ta Zn
2 2 1
direct
0.598 0.598 0.804
0.402 0.402 0.196
0.250 0.750 0.500
0.750 0.250 0.500
0.000 0.000 0.000
```

Calculated values
- D(E_F): 3.47 states/eV/f.u.
- DFT formation energy: 0.529 eV per atom
- Symmetry: I4/mmm, No. 139

A relaxed structure of BaS2F. Source: Alexandria via LeMat-Bulk, functional PBE.

Cell and atoms, written as POSCAR:
```
BaS2F
1.0
0.000 3.652 3.652
3.652 0.000 3.652
3.652 3.652 0.000
S F Ba
2 1 1
direct
0.750 0.750 0.750
0.250 0.250 0.250
0.000 0.000 0.000
0.500 0.500 0.500
```

Calculated values
- D(E_F): 2.98 states/eV/f.u.
- Formation energy (no corrections): -0.6967 eV/atom
- Symmetry: Fm-3m, No. 225

A relaxed structure of Zr2TlAs. Source: Alexandria via LeMat-Bulk, functional PBE.

Cell and atoms, written as POSCAR:
```
Zr2TlAs
1.0
6.669 0.000 0.000
-2.796 4.267 -0.001
1.077 1.258 3.025
Zr As Tl
2 1 1
direct
0.500 0.000 0.500
0.000 0.000 0.000
0.000 0.500 0.500
0.500 0.500 0.000
```

Calculated values
- D(E_F): 1.61 states/eV/f.u.
- DFT formation energy: -0.345 eV per atom
- Symmetry: C2/m, No. 12

A relaxed structure of AcTiSnO6. Source: Alexandria via LeMat-Bulk, functional PBE.

Cell and atoms, written as POSCAR:
```
AcTiSnO6
1.0
5.394 0.000 0.000
-2.697 4.672 0.000
0.000 0.000 10.616
Ac O Sn Ti
2 12 2 2
direct
0.000 0.000 0.000
0.000 0.000 0.500
0.986 0.368 0.644
0.632 0.014 0.856
0.618 0.986 0.356
0.618 0.632 0.144
0.014 0.632 0.356
0.382 0.014 0.644
0.986 0.618 0.856
0.368 0.986 0.144
0.632 0.618 0.644
0.368 0.382 0.356
0.382 0.368 0.856
0.014 0.382 0.144
0.667 0.333 0.250
0.333 0.667 0.750
0.333 0.667 0.250
0.667 0.333 0.750
```

Calculated values
- D(E_F): 7.89 states/eV/f.u.
- Formation energy (no corrections): -2.4292 eV/atom
- Symmetry: P-31c, No. 163

A relaxed structure of BaSnPtW2. Source: Alexandria via LeMat-Bulk, functional PBE.

Cell and atoms, written as POSCAR:
```
BaSnPtW2
1.0
5.235 0.000 0.000
0.000 5.227 0.000
0.000 0.000 5.235
W Pt Ba Sn
2 1 1 1
direct
0.000 0.000 0.500
0.500 0.000 0.000
0.000 0.500 0.000
0.000 0.000 0.000
0.500 0.500 0.500
```

Calculated values
- D(E_F): 5.46 states/eV/f.u.
- DFT formation energy: 3.062 eV per atom
- Symmetry: P4/mmm, No. 123

A relaxed structure of AlFe2B. Source: Alexandria via LeMat-Bulk, functional PBE.

Cell and atoms, written as POSCAR:
```
AlFe2B
1.0
2.778 0.000 0.000
0.000 3.744 0.000
0.000 0.000 3.744
Al B Fe
1 1 2
direct
0.500 0.500 0.500
0.500 0.000 0.000
0.000 0.500 0.000
0.000 0.000 0.500
```

Calculated values
- D(E_F): 3.58 states/eV/f.u.
- DFT formation energy: 0.023 eV per atom
- Symmetry: P4/mmm, No. 123

A relaxed structure of Ca2AsW. Source: Alexandria via LeMat-Bulk, functional PBE.

Cell and atoms, written as POSCAR:
```
Ca2AsW
1.0
3.390 0.000 0.000
0.000 3.390 0.000
0.000 0.000 8.600
Ca As W
2 1 1
direct
0.000 0.000 0.928
0.500 0.500 0.316
0.500 0.500 0.690
0.000 0.000 0.567
```

Calculated values
- D(E_F): 3.11 states/eV/f.u.
- DFT formation energy: 0.021 eV per atom
- Symmetry: P4mm, No. 99

A relaxed structure of Li2CoNi. Source: Alexandria via LeMat-Bulk, functional PBE.

Cell and atoms, written as POSCAR:
```
Li2CoNi
1.0
-1.655 -3.787 0.198
-0.192 -0.044 -2.445
4.208 -1.855 -0.299
Ni Li Co
1 2 1
direct
0.000 0.375 0.561
0.500 0.375 0.212
0.000 0.875 0.040
0.500 0.875 0.687
```

Calculated values
- D(E_F): 2.77 states/eV/f.u.
- DFT formation energy: 0.072 eV per atom
- Symmetry: Pmm2, No. 25

A relaxed structure of TiTl2MoIr. Source: Alexandria via LeMat-Bulk, functional PBE.

Cell and atoms, written as POSCAR:
```
TiTl2MoIr
1.0
5.285 0.000 0.000
0.000 4.566 0.000
0.000 0.000 5.285
Ir Mo Ti Tl
1 1 1 2
direct
0.000 0.500 0.000
0.500 0.500 0.500
0.000 0.000 0.000
0.000 0.000 0.500
0.500 0.000 0.000
```

Calculated values
- D(E_F): 3.79 states/eV/f.u.
- DFT formation energy: 1.330 eV per atom
- Symmetry: P4/mmm, No. 123

A relaxed structure of Hf3S. Source: Alexandria via LeMat-Bulk, functional PBE.

Cell and atoms, written as POSCAR:
```
Hf3S
1.0
3.365 0.000 0.000
-1.682 5.132 0.000
0.000 0.000 8.868
Hf S
6 2
direct
0.867 0.734 0.048
0.571 0.142 0.250
0.867 0.734 0.452
0.429 0.858 0.750
0.133 0.266 0.548
0.133 0.266 0.952
0.279 0.558 0.250
0.721 0.442 0.750
```

Calculated values
- D(E_F): 3.06 states/eV/f.u.
- Formation energy (no corrections): -0.7015 eV/atom
- Symmetry: Cmcm, No. 63

A relaxed structure of Ba4Se2SCl. Source: Alexandria via LeMat-Bulk, functional PBE.

Cell and atoms, written as POSCAR:
```
Ba4Se2SCl
1.0
9.261 0.010 -0.026
0.004 9.261 -0.026
-4.626 -4.629 6.579
Ba S Cl Se
8 2 2 4
direct
0.253 0.760 0.007
0.740 0.247 0.493
0.253 0.247 0.006
0.747 0.753 0.994
0.253 0.247 0.494
0.747 0.240 0.993
0.747 0.753 0.506
0.260 0.753 0.507
0.500 0.500 0.500
0.000 0.000 0.000
0.000 0.500 0.500
0.000 0.500 0.000
0.000 0.000 0.500
0.500 0.000 0.500
0.500 0.000 0.000
0.500 0.500 0.000
```

Calculated values
- D(E_F): 3.07 states/eV/f.u.
- Formation energy (no corrections): -2.0150 eV/atom
- Symmetry: Imma, No. 74

Number 1: calculated total energy -20.61 eV per cell, calculated volume 129.59 Å³/f.u.. Number 2: calculated total energy -33.41 eV per cell, calculated volume 218.93 Å³/f.u.. Number 3: calculated total energy -38.82 eV per cell, calculated volume 263.16 Å³/f.u.. Number 4: calculated total energy -54.50 eV per cell, calculated volume 231.19 Å³/f.u.. Number 5: calculated total energy -95.22 eV per cell, calculated volume 425.52 Å³/f.u.. Number 6: calculated total energy -89.00 eV per cell, calculated volume 179.05 Å³/f.u.. Number 7: calculated total energy -37.10 eV per cell, calculated volume 92.68 Å³/f.u.. Number 8: calculated total energy -81.25 eV per cell, calculated volume 205.36 Å³/f.u.. Number 9: calculated total energy -23.68 eV per cell, calculated volume 68.07 Å³/f.u.. Number 10: calculated total energy -20.49 eV per cell, calculated volume 55.26 Å³/f.u.. Number 11: calculated total energy -25.11 eV per cell, calculated volume 76.10 Å³/f.u.. Number 12: calculated total energy -42.54 eV per cell, calculated volume 293.38 Å³/f.u.. Number 13: calculated total energy -37.24 eV per cell, calculated volume 301.30 Å³/f.u.. Number 14: calculated total energy -26.34 eV per cell, calculated volume 132.31 Å³/f.u.. Number 15: calculated total energy -14.84 eV per cell, calculated volume 97.39 Å³/f.u.. Number 16: calculated total energy -25.49 eV per cell, calculated volume 86.06 Å³/f.u.. Number 17: calculated total energy -135.24 eV per cell, calculated volume 133.75 Å³/f.u.. Number 18: calculated total energy -22.56 eV per cell, calculated volume 143.27 Å³/f.u.. Number 19: calculated total energy -27.25 eV per cell, calculated volume 38.94 Å³/f.u.. Number 20: calculated total energy -21.52 eV per cell, calculated volume 98.82 Å³/f.u.. Number 21: calculated total energy -16.43 eV per cell, calculated volume 46.78 Å³/f.u.. Number 22: calculated total energy -25.67 eV per cell, calculated volume 127.55 Å³/f.u.. Number 23: calculated total energy -73.59 eV per cell, calculated volume 76.57 Å³/f.u.. Number 24: calculated total energy -73.51 eV per cell, calculated volume 281.02 Å³/f.u..